Tb2Nd3PuSe6 (PBE, relaxed); DFT total energy = -6.68 eV per atom; formation energy (no corrections) = -1783 meV per atom
1.0
9.108 -2.070 0.000
9.108 2.070 0.000
-1.990 0.000 8.156
Tb Nd Pu Se
2 3 1 6
Direct
0.164 0.164 0.329 Tb
0.836 0.836 0.671 Tb
0.165 0.165 0.835 Nd
0.500 0.500 0.500 Nd
0.835 0.835 0.165 Nd
0.500 0.500 0.000 Pu
0.002 0.002 0.246 Se
0.330 0.330 0.424 Se
0.334 0.334 0.909 Se
0.666 0.666 0.091 Se
0.670 0.670 0.576 Se
0.998 0.998 0.754 Se